First-principles (PBE-GGA) data for crystalline NaTe2SI at its relaxed geometry, as listed in Alexandria.

Cell: 5.3605 5.3605 5.7695 Å, 90.00 90.00 90.00°
Space group P4/mmm (No. 123)
Unique sites:
Na 0.0000 0.0000 0.0000 (multiplicity 1)
Te 0.0000 0.5000 0.5000 (multiplicity 2)
S 0.5000 0.5000 0.5000 (multiplicity 1)
I 0.5000 0.5000 0.0000 (multiplicity 1)

Summary:
As for the final energy: -2.635 eV per atom. As for the energy relative to the elements, uncorrected: 0.021 eV/atom. Its magnetization is 0.535 Bohr magnetons per cell. As for the energy above the most stable polymorph in this dataset: 0.00 eV per formula unit.

---

First-principles (PBE-GGA) data for crystalline NaTe2SI at its relaxed geometry, as listed in Alexandria.

Cell: 5.6042 5.6042 5.5718 Å, 90.00 90.00 90.00°
Space group P4/mmm (No. 123)
Unique sites:
Na 0.0000 0.0000 0.0000 (multiplicity 1)
Te 0.0000 0.5000 0.0000 (multiplicity 2)
S 0.5000 0.5000 0.5000 (multiplicity 1)
I 0.0000 0.0000 0.5000 (multiplicity 1)

Summary:
As for the final energy: -1.864 eV per atom. As for the energy relative to the elements, uncorrected: 0.792 eV/atom. Its magnetization is 1.130 Bohr magnetons per cell. As for the energy above the most stable polymorph in this dataset: 3.86 eV per formula unit.

---

First-principles (PBE-GGA) data for crystalline NaTeSI2 at its relaxed geometry, as listed in Alexandria.

Cell: 5.8010 5.8010 5.8221 Å, 90.00 90.00 90.00°
Space group P4/mmm (No. 123)
Unique sites:
Na 0.0000 0.0000 0.0000 (multiplicity 1)
Te 0.0000 0.0000 0.5000 (multiplicity 1)
S 0.5000 0.5000 0.5000 (multiplicity 1)
I 0.0000 0.5000 0.0000 (multiplicity 2)

Summary:
As for the final energy: -1.718 eV per atom. As for the energy relative to the elements, uncorrected: 0.619 eV/atom. Its magnetization is 2.830 Bohr magnetons per cell. As for the energy above the most stable polymorph in this dataset: 3.38 eV per formula unit.

---

First-principles (PBE-GGA) data for crystalline NaTeSI2 at its relaxed geometry, as listed in Alexandria.

Cell: 5.7232 5.7232 5.3464 Å, 90.00 90.00 90.00°
Space group P4/mmm (No. 123)
Unique sites:
Na 0.0000 0.0000 0.0000 (multiplicity 1)
Te 0.5000 0.5000 0.0000 (multiplicity 1)
S 0.5000 0.5000 0.5000 (multiplicity 1)
I 0.0000 0.5000 0.5000 (multiplicity 2)

Summary:
As for the final energy: -2.395 eV per atom. As for the energy relative to the elements, uncorrected: -0.058 eV/atom. Its magnetization is 0.051 Bohr magnetons per cell. As for the energy above the most stable polymorph in this dataset: 0.00 eV per formula unit.

---

First-principles (PBE-GGA) data for crystalline NaTl2SI at its relaxed geometry, as listed in Alexandria.

Cell: 6.0851 6.0851 5.1853 Å, 90.00 90.00 90.00°
Space group P4/mmm (No. 123)
Unique sites:
Na 0.0000 0.0000 0.0000 (multiplicity 1)
Tl 0.0000 0.5000 0.5000 (multiplicity 2)
S 0.0000 0.0000 0.5000 (multiplicity 1)
I 0.5000 0.5000 0.0000 (multiplicity 1)

Summary:
As for the final energy: -2.895 eV per atom. As for the energy relative to the elements, uncorrected: -0.549 eV/atom. Its magnetization is 0.000 Bohr magnetons per cell.

---

First-principles (PBE-GGA) data for crystalline Na2WSI at its relaxed geometry, as listed in Alexandria.

Cell: 6.2247 6.2247 4.5029 Å, 90.00 90.00 90.00°
Space group P4/mmm (No. 123)
Unique sites:
Na 0.0000 0.5000 0.0000 (multiplicity 2)
W 0.0000 0.0000 0.0000 (multiplicity 1)
S 0.0000 0.0000 0.5000 (multiplicity 1)
I 0.5000 0.5000 0.5000 (multiplicity 1)

Summary:
As for the final energy: -4.073 eV per atom. As for the energy relative to the elements, uncorrected: 0.180 eV/atom. Its magnetization is 3.000 Bohr magnetons per cell.